Pr2CoP3Rh4 | GGA-PBE | relaxed

Calculated values
* total moment: 2.0 Bohr magnetons per cell
* formation enthalpy at 0 K: -0.93 eV/atom
* E: -7.160 eV per atom

```
data_Pr2CoP3Rh4
_cell_length_a 4.1368
_cell_length_b 4.1368
_cell_length_c 9.8206
_cell_angle_alpha 90.00
_cell_angle_beta 90.00
_cell_angle_gamma 90.00
_space_group_name_H-M_alt 'P -4 m 2'
_space_group_IT_number 115
loop_
_space_group_symop_operation_xyz
'x,y,z'
'y,-x,-z'
'-x,-y,z'
'-y,x,-z'
'-x,y,z'
'-y,-x,-z'
'x,-y,z'
'y,x,-z'
loop_
_atom_site_label
_atom_site_type_symbol
_atom_site_fract_x
_atom_site_fract_y
_atom_site_fract_z
_atom_site_occupancy
Pr1 Pr 0.0000 0.5000 0.2443 1
Co1 Co 0.5000 0.5000 0.0000 1
P1 P 0.0000 0.0000 0.0000 1
P2 P 0.0000 0.5000 0.6364 1
Rh1 Rh 0.0000 0.0000 0.5000 1
Rh2 Rh 0.0000 0.5000 0.8759 1
Rh3 Rh 0.5000 0.5000 0.5000 1
```

***

FePI3 | GGA-PBE | relaxed

Calculated values
* distance to the lowest polymorph of the same formula: 0.000 eV/atom
* total moment: 3.9 Bohr magnetons per cell
* formation energy from raw total energies: 4.0 eV/f.u.
* E: -2.902 eV per atom

```
data_FePI3
_cell_length_a 5.5210
_cell_length_b 5.5210
_cell_length_c 5.5210
_cell_angle_alpha 90.00
_cell_angle_beta 90.00
_cell_angle_gamma 90.00
_space_group_name_H-M_alt 'P m -3 m'
_space_group_IT_number 221
_space_group_name_Hall '-P 4 2 3'
loop_
_atom_site_label
_atom_site_type_symbol
_atom_site_fract_x
_atom_site_fract_y
_atom_site_fract_z
_atom_site_occupancy
Fe1 Fe 0.0000 0.0000 0.0000 1
P1 P 0.5000 0.5000 0.5000 1
I1 I 0.0000 0.5000 0.5000 1
```

***

Nd2HoHg4 | GGA-PBE | relaxed

Calculated values
* distance to the lowest polymorph of the same formula: 0.000 eV/atom
* total moment: 0.0 Bohr magnetons per cell
* formation enthalpy at 0 K: -0.35 eV/atom
* E: -2.535 eV per atom

```
data_Nd2HoHg4
_cell_length_a 5.1525
_cell_length_b 5.1525
_cell_length_c 26.9907
_cell_angle_alpha 90.00
_cell_angle_beta 90.00
_cell_angle_gamma 120.00
_space_group_name_H-M_alt 'R -3 m'
_space_group_IT_number 166
_space_group_name_Hall '-R 3 2"'
loop_
_atom_site_label
_atom_site_type_symbol
_atom_site_fract_x
_atom_site_fract_y
_atom_site_fract_z
_atom_site_occupancy
Nd1 Nd 0.0000 0.0000 0.2441 1
Ho1 Ho 0.0000 0.0000 0.0000 1
Hg1 Hg 0.0000 0.0000 0.1269 1
Hg2 Hg 0.0000 0.0000 0.3701 1
```

***

PrNd2ErIn2 | GGA-PBE | relaxed

Calculated values
* total moment: 0.0 Bohr magnetons per cell
* formation enthalpy at 0 K: -0.34 eV/atom
* E: -4.403 eV per atom

```
data_PrNd2ErIn2
_cell_length_a 5.2948
_cell_length_b 10.1225
_cell_length_c 6.8758
_cell_angle_alpha 90.00
_cell_angle_beta 90.00
_cell_angle_gamma 90.00
_space_group_name_H-M_alt 'P m c 21'
_space_group_IT_number 26
loop_
_space_group_symop_operation_xyz
'x,y,z'
'-x,-y,z+1/2'
'-x,y,z'
'x,-y,z+1/2'
loop_
_atom_site_label
_atom_site_type_symbol
_atom_site_fract_x
_atom_site_fract_y
_atom_site_fract_z
_atom_site_occupancy
Pr1 Pr 0.0000 0.0405 0.0000 1
Nd1 Nd 0.0000 0.3207 0.3588 1
Nd2 Nd 0.5000 0.4566 0.0785 1
Er1 Er 0.5000 0.1837 0.7236 1
In1 In 0.0000 0.3529 0.8289 1
In2 In 0.5000 0.1354 0.2579 1
```

***

> Among the records above, which one has the highest total moment?

FePI3

***

> Among the records above, which one has the highest total moment?

FePI3